# 1
Entry from Alexandria: crystalline LiAg2Pb at its relaxed geometry (PBE).

Formation energy   0.06 eV/atom

Lattice parameters (Å, degrees): 4.1123 4.1123 20.4862 90.00 90.00 90.00
Space group I-42d (No. 122)
Inequivalent atoms, fractional coordinates:
Li1 0.0000 0.0000 0.0000 [4 per cell]
Ag1 0.2415 0.2500 0.1250 [8 per cell]
Pb1 0.0000 0.0000 0.5000 [4 per cell]



# 2
Entry from Alexandria: crystalline Er8PdPt5 at its relaxed geometry (PBE).

Formation energy   -1.09 eV/atom

Lattice parameters (Å, degrees): 8.6585 8.6585 8.6495 90.00 90.00 90.00
Space group I-4 (No. 82)
Inequivalent atoms, fractional coordinates:
Er1 0.0639 0.1849 0.3099 [8 per cell]
Er2 0.0646 0.3131 0.9357 [8 per cell]
Pd1 0.0000 0.5000 0.2500 [2 per cell]
Pt1 0.0000 0.0000 0.0000 [2 per cell]
Pt2 0.1264 0.2492 0.6228 [8 per cell]



# 3
Entry from Alexandria: crystalline SmYAgIr at its relaxed geometry (PBE).

Formation energy   -0.54 eV/atom

Lattice parameters (Å, degrees): 7.1166 7.1166 7.1166 90.00 90.00 90.00
Space group F-43m (No. 216)
Inequivalent atoms, fractional coordinates:
Sm1 0.0000 0.0000 0.0000 [4 per cell]
Y1 0.0000 0.0000 0.5000 [4 per cell]
Ag1 0.2500 0.2500 0.2500 [4 per cell]
Ir1 0.2500 0.2500 0.7500 [4 per cell]



# 4
Entry from Alexandria: crystalline KCuW2 at its relaxed geometry (PBE).

Formation energy   1.03 eV/atom

Lattice parameters (Å, degrees): 2.7769 2.7769 32.5648 90.00 90.00 120.00
Space group R-3m (No. 166, hexagonal axes)
Inequivalent atoms, fractional coordinates:
K1 0.0000 0.0000 0.0000 [3 per cell]
Cu1 0.0000 0.0000 0.5000 [3 per cell]
W1 0.0000 0.0000 0.2355 [6 per cell]



# 5
Entry from Alexandria: crystalline CsVN2 at its relaxed geometry (PBE).

Formation energy from raw total energies   0.2253 eV/atom

Lattice parameters (Å, degrees): 3.1568 3.1568 22.1032 90.00 90.00 120.00
Space group R-3m (No. 166, hexagonal axes)
Inequivalent atoms, fractional coordinates:
Cs1 0.0000 0.0000 0.0000 [3 per cell]
V1 0.0000 0.0000 0.5000 [3 per cell]
N1 0.0000 0.0000 0.1235 [6 per cell]